Compound: TbTm14Pu
Source: the Alexandria database
Functional: PBE
Structure: optimized geometry

```
TbTm14Pu
1.0
6.899 0.983 0.000
-0.981 6.899 0.000
0.000 0.000 9.832
Tm Pu Tb
14 1 1
Cartesian
1.961 4.690 7.365 Tm
5.434 5.186 2.467 Tm
2.454 1.217 7.365 Tm
3.944 3.201 0.000 Tm
5.927 1.712 7.365 Tm
2.454 1.217 2.467 Tm
5.434 5.186 7.365 Tm
0.004 6.159 0.000 Tm
3.452 6.650 4.916 Tm
5.927 1.712 2.467 Tm
0.495 2.711 4.916 Tm
3.454 6.651 0.000 Tm
1.961 4.690 2.467 Tm
0.494 2.710 0.000 Tm
0.003 6.160 4.916 Pu
3.944 3.201 4.916 Tb
```

Energy (eV per formula unit): -80.919
Density (Mg/m³): 9.63
ΔH_f (0 K) (meV per atom): 40
Volume (Å³/f.u.): 477
Symmetry: No. 123
Density of states at the Fermi level (states/eV/f.u.): 26.6